# 1
! PBE Sm2Si6Ir9, optimized geometry; values from VASP
&SYSTEM
  ibrav = 0, nat = 17, ntyp = 3
/
ATOMIC_SPECIES
Sm 150.36 Sm.upf
Si 28.09 Si.upf
Ir 192.22 Ir.upf
CELL_PARAMETERS angstrom
5.634 0.000 0.000
-2.817 4.879 0.000
0.000 0.000 10.819
ATOMIC_POSITIONS crystal
Sm 0.000 0.000 0.192
Sm 0.000 0.000 0.808
Si 0.333 0.667 0.166
Si 0.333 0.667 0.500
Si 0.333 0.667 0.834
Si 0.667 0.333 0.166
Si 0.667 0.333 0.500
Si 0.667 0.333 0.834
Ir 0.000 0.500 0.000
Ir 0.000 0.500 0.333
Ir 0.000 0.500 0.667
Ir 0.500 0.000 0.000
Ir 0.500 0.000 0.333
Ir 0.500 0.000 0.667
Ir 0.500 0.500 0.000
Ir 0.500 0.500 0.333
Ir 0.500 0.500 0.667
! * formation energy without anion corrections: -0.70 eV per atom


# 2
! PBE ScNi2Te, optimized geometry; values from VASP
&SYSTEM
  ibrav = 0, nat = 8, ntyp = 3
/
ATOMIC_SPECIES
Sc 44.96 Sc.upf
Ni 58.69 Ni.upf
Te 127.60 Te.upf
CELL_PARAMETERS angstrom
4.769 0.000 0.000
-0.049 5.213 0.000
-1.811 -1.678 5.714
ATOMIC_POSITIONS crystal
Sc 0.000 0.000 0.000
Sc 0.381 0.932 0.661
Ni 0.532 0.825 0.118
Ni 0.549 0.300 0.093
Ni 0.664 0.508 0.814
Ni 0.813 0.697 0.528
Te 0.116 0.564 0.201
Te 0.823 0.188 0.504
! * formation energy without anion corrections: -0.36 eV per atom


# 3
! PBE SrZrHg2, optimized geometry; values from VASP
&SYSTEM
  ibrav = 0, nat = 4, ntyp = 3
/
ATOMIC_SPECIES
Sr 87.62 Sr.upf
Zr 91.22 Zr.upf
Hg 200.59 Hg.upf
CELL_PARAMETERS angstrom
0.000 3.727 3.727
3.727 0.000 3.727
3.727 3.727 0.000
ATOMIC_POSITIONS crystal
Sr 0.000 0.000 0.000
Zr 0.250 0.250 0.250
Hg 0.500 0.500 0.500
Hg 0.750 0.750 0.750
! * ΔH_f (0 K): 286 meV per atom


# 4
! PBE Sm4InAg2, optimized geometry; values from VASP
&SYSTEM
  ibrav = 0, nat = 7, ntyp = 3
/
ATOMIC_SPECIES
Sm 150.36 Sm.upf
In 114.82 In.upf
Ag 107.87 Ag.upf
CELL_PARAMETERS angstrom
2.564 1.481 9.399
-2.564 1.481 9.399
0.000 -2.961 9.399
ATOMIC_POSITIONS crystal
Sm 0.122 0.122 0.122
Sm 0.293 0.293 0.293
Sm 0.707 0.707 0.707
Sm 0.878 0.878 0.878
In 0.500 0.500 0.500
Ag 0.400 0.400 0.400
Ag 0.600 0.600 0.600
! * ΔH_f (0 K): -81 meV per atom
! * polymorph energy (0 for the lowest one): 115 meV per atom


# 5
! PBE Rb2PIrPd, optimized geometry; values from VASP
&SYSTEM
  ibrav = 0, nat = 5, ntyp = 4
/
ATOMIC_SPECIES
Rb 85.47 Rb.upf
P 30.97 P.upf
Ir 192.22 Ir.upf
Pd 106.42 Pd.upf
CELL_PARAMETERS angstrom
6.415 0.000 0.000
0.000 6.415 0.000
0.000 0.000 4.733
ATOMIC_POSITIONS crystal
Rb 0.000 0.500 0.000
Rb 0.500 0.000 0.000
P 0.000 0.000 0.500
Ir 0.500 0.500 0.500
Pd 0.500 0.500 0.000
! * ΔH_f (0 K): 1073 meV per atom


# 6
! PBE Ni2IrOs, optimized geometry; values from VASP
&SYSTEM
  ibrav = 0, nat = 4, ntyp = 3
/
ATOMIC_SPECIES
Ni 58.69 Ni.upf
Ir 192.22 Ir.upf
Os 190.23 Os.upf
CELL_PARAMETERS angstrom
1.348 -2.243 0.000
1.348 2.243 0.000
0.000 0.000 8.725
ATOMIC_POSITIONS crystal
Ni 0.000 0.000 0.248
Ni 0.000 0.000 0.752
Ir 0.500 0.500 0.500
Os 0.500 0.500 0.000
! * ΔH_f (0 K): 300 meV per atom
! * polymorph energy (0 for the lowest one): 281 meV per atom


# 7
! PBE NaTiF5, optimized geometry; values from VASP
&SYSTEM
  ibrav = 0, nat = 14, ntyp = 3
/
ATOMIC_SPECIES
Na 22.99 Na.upf
Ti 47.87 Ti.upf
F 19.00 F.upf
CELL_PARAMETERS angstrom
4.534 -3.326 0.000
4.534 3.326 0.000
-3.333 0.000 7.070
ATOMIC_POSITIONS crystal
Na 0.012 0.988 0.750
Na 0.988 0.012 0.250
Ti 0.500 0.500 0.000
Ti 0.500 0.500 0.500
F 0.212 0.772 0.014
F 0.228 0.788 0.486
F 0.264 0.287 0.388
F 0.287 0.264 0.888
F 0.470 0.530 0.750
F 0.530 0.470 0.250
F 0.713 0.736 0.112
F 0.736 0.713 0.612
F 0.772 0.212 0.514
F 0.788 0.228 0.986
! * formation energy without anion corrections: -3.27 eV per atom


# 8
! PBE AgSb2IrSe, optimized geometry; values from VASP
&SYSTEM
  ibrav = 0, nat = 5, ntyp = 4
/
ATOMIC_SPECIES
Ag 107.87 Ag.upf
Sb 121.76 Sb.upf
Ir 192.22 Ir.upf
Se 78.96 Se.upf
CELL_PARAMETERS angstrom
5.039 0.000 0.000
0.000 5.039 0.000
0.000 0.000 5.242
ATOMIC_POSITIONS crystal
Ag 0.000 0.000 0.000
Sb 0.000 0.500 0.500
Sb 0.500 0.000 0.500
Ir 0.000 0.000 0.500
Se 0.500 0.500 0.000
! * formation energy without anion corrections: 0.43 eV per atom


# 9
! PBE CoPPt2, optimized geometry; values from VASP
&SYSTEM
  ibrav = 0, nat = 8, ntyp = 3
/
ATOMIC_SPECIES
Co 58.93 Co.upf
P 30.97 P.upf
Pt 195.08 Pt.upf
CELL_PARAMETERS angstrom
-2.807 2.807 4.954
2.807 -2.807 4.954
2.807 2.807 -4.954
ATOMIC_POSITIONS crystal
Co 0.000 0.000 0.000
Co 0.750 0.250 0.500
P 0.250 0.750 0.500
P 0.500 0.500 0.000
Pt 0.147 0.625 0.022
Pt 0.375 0.397 0.522
Pt 0.603 0.125 0.978
Pt 0.875 0.853 0.478
! * ΔH_f (0 K): 231 meV per atom


# 10
! PBE NdMnFe4, optimized geometry; values from VASP
&SYSTEM
  ibrav = 0, nat = 6, ntyp = 3
/
ATOMIC_SPECIES
Nd 144.24 Nd.upf
Mn 54.94 Mn.upf
Fe 55.84 Fe.upf
CELL_PARAMETERS angstrom
0.000 3.566 3.566
3.566 0.000 3.566
3.566 3.566 0.000
ATOMIC_POSITIONS crystal
Nd 0.000 0.000 0.000
Mn 0.750 0.750 0.750
Fe 0.376 0.376 0.376
Fe 0.376 0.376 0.872
Fe 0.376 0.872 0.376
Fe 0.872 0.376 0.376
! * ΔH_f (0 K): 156 meV per atom


# 11
! PBE Ca2GaPbO, optimized geometry; values from VASP
&SYSTEM
  ibrav = 0, nat = 5, ntyp = 4
/
ATOMIC_SPECIES
Ca 40.08 Ca.upf
Ga 69.72 Ga.upf
Pb 207.20 Pb.upf
O 16.00 O.upf
CELL_PARAMETERS angstrom
5.958 0.000 0.000
0.000 5.958 0.000
0.000 0.000 5.235
ATOMIC_POSITIONS crystal
Ca 0.000 0.500 0.000
Ca 0.500 0.000 0.000
Ga 0.000 0.000 0.500
Pb 0.000 0.000 0.000
O 0.500 0.500 0.500
! * formation energy without anion corrections: 0.24 eV per atom


# 12
! PBE Sr2NpPaS6, optimized geometry; values from VASP
&SYSTEM
  ibrav = 0, nat = 20, ntyp = 4
/
ATOMIC_SPECIES
Sr 87.62 Sr.upf
Np 237.00 Np.upf
Pa 231.04 Pa.upf
S 32.06 S.upf
CELL_PARAMETERS angstrom
7.008 0.000 0.000
0.000 7.489 0.000
-6.985 0.000 10.209
ATOMIC_POSITIONS crystal
Sr 0.222 0.077 0.249
Sr 0.222 0.423 0.749
Sr 0.778 0.577 0.251
Sr 0.778 0.923 0.751
Np 0.000 0.000 0.500
Np 0.000 0.500 0.000
Pa 0.500 0.000 0.000
Pa 0.500 0.500 0.500
S 0.136 0.193 0.940
S 0.136 0.307 0.440
S 0.247 0.702 0.936
S 0.247 0.798 0.436
S 0.371 0.042 0.754
S 0.371 0.458 0.254
S 0.629 0.542 0.746
S 0.629 0.958 0.246
S 0.753 0.202 0.564
S 0.753 0.298 0.064
S 0.864 0.693 0.560
S 0.864 0.807 0.060
! * formation energy without anion corrections: -1.75 eV per atom